AlTeAs2Br | PBE | relaxed

Unit cell a=5.3607 b=5.3607 c=5.7855 alpha=90.00 beta=90.00 gamma=90.00
Site moments in Bohr magnetons follow the coordinates.
Atoms (fractional coordinates):
1 Al 0.5000 0.5000 0.5000  0.00
2 As 0.5000 0.0000 0.0000  0.10
3 As 0.0000 0.5000 0.0000  0.10
4 Br 0.0000 0.0000 0.5000  0.03
5 Te 0.0000 0.0000 0.0000  0.00

## Properties
DOS at the Fermi energy: 5.14 states/eV/cell
DFT total energy: -2.794 eV per atom
raw formation energy: 3.88 eV/f.u.